AcThSi2Pt4, relaxed, DFT GGA-PBE; ΔE_f (raw) = -725 kJ/mol of formula units; total moment = 0.000 μB per atom; E = -6.76 eV/atom; D(E_F) = 3.7 states/eV per cell; space group = P4/mmm, No. 123
1.0
4.5360 0.0000 0.0000
0.0000 4.5360 0.0000
0.0000 0.0000 8.4298
Si Th Pt Ac
2 1 4 1
direct
0.5000 0.5000 0.3406
0.5000 0.5000 0.6594
0.0000 0.0000 0.0000
0.5000 0.0000 0.7720
0.0000 0.5000 0.7720
0.0000 0.5000 0.2280
0.5000 0.0000 0.2280
0.0000 0.0000 0.5000